VASP calculation (PBE) on a geometry-optimized Ni2TeBr structure.

energy relative to the lowest polymorph listed for this composition = 106 meV/atom
space-group type = I-42d

a = 6.693 Å, b = 6.693 Å, c = 6.693 Å
α = 128.71°, β = 128.71°, γ = 75.47°
Positions (direct):
Ni: 0.122 0.625 0.997
Ni: 0.375 0.372 0.497
Ni: 0.628 0.125 0.003
Ni: 0.875 0.878 0.503
Te: 0.250 0.750 0.500
Te: 0.500 0.500 0.000
Br: 0.000 0.000 0.000
Br: 0.750 0.250 0.500


VASP calculation (PBE) on a geometry-optimized ReSnPS2 structure.

energy relative to the lowest polymorph listed for this composition = 1259 meV/atom
space-group type = P4/mmm

a = 4.879 Å, b = 4.879 Å, c = 5.131 Å
α = 90.00°, β = 90.00°, γ = 90.00°
Positions (direct):
Re: 0.000 0.000 0.000
Sn: 0.500 0.500 0.500
P: 0.500 0.500 0.000
S: 0.000 0.500 0.500
S: 0.500 0.000 0.500


VASP calculation (PBE) on a geometry-optimized Pm2ErThTe5 structure.

space-group type = P4/mmm

a = 5.470 Å, b = 5.470 Å, c = 11.813 Å
α = 90.00°, β = 90.00°, γ = 90.00°
Positions (direct):
Pm: 0.000 0.000 0.153
Pm: 0.000 0.000 0.847
Er: 0.500 0.500 0.000
Th: 0.500 0.500 0.500
Te: 0.000 0.000 0.500
Te: 0.000 0.500 0.000
Te: 0.500 0.000 0.000
Te: 0.500 0.500 0.251
Te: 0.500 0.500 0.749


VASP calculation (PBE) on a geometry-optimized Pr2GaPPd6 structure.

energy of formation = -0.76 eV/atom
space-group type = Pmmn

a = 5.607 Å, b = 8.747 Å, c = 8.114 Å
α = 90.00°, β = 90.00°, γ = 90.00°
Positions (direct):
Pr: 0.250 0.010 0.231
Pr: 0.250 0.490 0.231
Pr: 0.750 0.510 0.769
Pr: 0.750 0.990 0.769
Ga: 0.250 0.750 0.777
Ga: 0.750 0.250 0.223
P: 0.250 0.250 0.735
P: 0.750 0.750 0.265
Pd: 0.002 0.750 0.508
Pd: 0.003 0.250 0.971
Pd: 0.250 0.002 0.615
Pd: 0.250 0.498 0.615
Pd: 0.497 0.250 0.971
Pd: 0.498 0.750 0.508
Pd: 0.502 0.250 0.492
Pd: 0.503 0.750 0.029
Pd: 0.750 0.502 0.385
Pd: 0.750 0.998 0.385
Pd: 0.997 0.750 0.029
Pd: 0.998 0.250 0.492


VASP calculation (PBE) on a geometry-optimized Cs2BeCdP2 structure.

energy of formation = -0.28 eV/atom
space-group type = Ibam

a = 10.445 Å, b = 10.445 Å, c = 10.445 Å
α = 146.09°, β = 48.30°, γ = 146.65°
Positions (direct):
Cs: 0.161 0.237 0.398
Cs: 0.339 0.737 0.076
Cs: 0.661 0.263 0.924
Cs: 0.839 0.763 0.602
Be: 0.250 0.750 0.500
Be: 0.750 0.250 0.500
Cd: 0.250 0.250 0.000
Cd: 0.750 0.750 0.000
P: 0.070 0.702 0.772
P: 0.430 0.202 0.633
P: 0.570 0.798 0.367
P: 0.930 0.298 0.228


VASP calculation (PBE) on a geometry-optimized SrTl2InNi structure.

energy of formation = -0.13 eV/atom
space-group type = P4/mmm

a = 5.179 Å, b = 5.179 Å, c = 5.084 Å
α = 90.00°, β = 90.00°, γ = 90.00°
Positions (direct):
Sr: 0.000 0.000 0.000
Tl: 0.000 0.500 0.500
Tl: 0.500 0.000 0.500
In: 0.500 0.500 0.000
Ni: 0.500 0.500 0.500


VASP calculation (PBE) on a geometry-optimized Re3AuC structure.

energy of formation = 4.31 eV/atom
energy relative to the lowest polymorph listed for this composition = 3832 meV/atom
space-group type = Pm-3m

a = 4.859 Å, b = 4.859 Å, c = 4.859 Å
α = 90.00°, β = 90.00°, γ = 90.00°
Positions (direct):
Re: 0.000 0.000 0.500
Re: 0.000 0.500 0.000
Re: 0.500 0.000 0.000
Au: 0.000 0.000 0.000
C: 0.500 0.500 0.500


VASP calculation (PBE) on a geometry-optimized K8TlAu2 structure.

energy of formation = -0.13 eV/atom
space-group type = C2/m

a = 9.335 Å, b = 9.335 Å, c = 6.521 Å
α = 97.32°, β = 97.32°, γ = 111.37°
Positions (direct):
K: 0.058 0.323 0.586
K: 0.246 0.754 0.000
K: 0.323 0.058 0.586
K: 0.371 0.371 0.200
K: 0.629 0.629 0.800
K: 0.677 0.942 0.414
K: 0.754 0.246 0.000
K: 0.942 0.677 0.414
Tl: 0.000 0.000 0.000
Au: 0.319 0.681 0.500
Au: 0.681 0.319 0.500


VASP calculation (PBE) on a geometry-optimized V2CrIr9 structure.

energy of formation = -0.39 eV/atom
space-group type = P4/mmm

a = 3.834 Å, b = 3.834 Å, c = 11.498 Å
α = 90.00°, β = 90.00°, γ = 90.00°
Positions (direct):
V: 0.000 0.000 0.168
V: 0.000 0.000 0.832
Cr: 0.000 0.000 0.500
Ir: 0.000 0.500 0.000
Ir: 0.000 0.500 0.334
Ir: 0.000 0.500 0.666
Ir: 0.500 0.000 0.000
Ir: 0.500 0.000 0.334
Ir: 0.500 0.000 0.666
Ir: 0.500 0.500 0.167
Ir: 0.500 0.500 0.500
Ir: 0.500 0.500 0.833


VASP calculation (PBE) on a geometry-optimized Rb3LiPb2Cl9 structure.

space-group type = P-3m1

a = 7.645 Å, b = 7.645 Å, c = 9.484 Å
α = 90.00°, β = 90.00°, γ = 120.00°
Positions (direct):
Rb: 0.000 0.000 0.000
Rb: 0.333 0.667 0.644
Rb: 0.667 0.333 0.356
Li: 0.000 0.000 0.500
Pb: 0.333 0.667 0.183
Pb: 0.667 0.333 0.817
Cl: 0.000 0.500 0.000
Cl: 0.162 0.325 0.345
Cl: 0.162 0.838 0.345
Cl: 0.325 0.162 0.655
Cl: 0.500 0.000 0.000
Cl: 0.500 0.500 0.000
Cl: 0.675 0.838 0.345
Cl: 0.838 0.162 0.655
Cl: 0.838 0.675 0.655


VASP calculation (PBE) on a geometry-optimized Na6MgS4O16 structure.

space-group type = P2_1/c

a = 10.019 Å, b = 9.272 Å, c = 8.352 Å
α = 90.00°, β = 114.10°, γ = 90.00°
Positions (direct):
Na: 0.044 0.151 0.417
Na: 0.044 0.349 0.917
Na: 0.189 0.014 0.030
Na: 0.189 0.486 0.530
Na: 0.391 0.639 0.317
Na: 0.391 0.861 0.817
Na: 0.609 0.139 0.183
Na: 0.609 0.361 0.683
Na: 0.811 0.514 0.470
Na: 0.811 0.986 0.970
Na: 0.956 0.651 0.083
Na: 0.956 0.849 0.583
Mg: 0.500 0.000 0.500
Mg: 0.500 0.500 0.000
S: 0.163 0.645 0.841
S: 0.163 0.855 0.341
S: 0.364 0.192 0.775
S: 0.364 0.308 0.275
S: 0.636 0.692 0.725
S: 0.636 0.808 0.225
S: 0.837 0.145 0.659
S: 0.837 0.355 0.159
O: 0.038 0.604 0.674
O: 0.038 0.896 0.174
O: 0.144 0.582 0.993
O: 0.144 0.918 0.493
O: 0.172 0.694 0.356
O: 0.172 0.806 0.856
O: 0.217 0.247 0.174
O: 0.217 0.253 0.674
O: 0.300 0.590 0.831
O: 0.300 0.910 0.331
O: 0.365 0.102 0.923
O: 0.365 0.398 0.423
O: 0.412 0.101 0.663
O: 0.412 0.399 0.163
O: 0.473 0.187 0.348
O: 0.473 0.313 0.848
O: 0.527 0.687 0.152
O: 0.527 0.813 0.652
O: 0.588 0.601 0.837
O: 0.588 0.899 0.337
O: 0.635 0.602 0.577
O: 0.635 0.898 0.077
O: 0.700 0.090 0.669
O: 0.700 0.410 0.169
O: 0.783 0.747 0.326
O: 0.783 0.753 0.826
O: 0.828 0.194 0.144
O: 0.828 0.306 0.644
O: 0.856 0.082 0.507
O: 0.856 0.418 0.007
O: 0.962 0.104 0.826
O: 0.962 0.396 0.326


VASP calculation (PBE) on a geometry-optimized ScBe2Tc structure.

energy of formation = 0.21 eV/atom
energy relative to the lowest polymorph listed for this composition = 437 meV/atom
space-group type = F-43m

a = 4.232 Å, b = 4.232 Å, c = 4.232 Å
α = 60.00°, β = 60.00°, γ = 60.00°
Positions (direct):
Sc: 0.000 0.000 0.000
Be: 0.250 0.250 0.250
Be: 0.500 0.500 0.500
Tc: 0.750 0.750 0.750


VASP calculation (PBE) on a geometry-optimized Li2LaCe2Pb2 structure.

energy of formation = -0.33 eV/atom
space-group type = R-3m

a = 9.936 Å, b = 9.936 Å, c = 9.936 Å
α = 27.43°, β = 27.43°, γ = 27.43°
Positions (direct):
Li: 0.082 0.082 0.082
Li: 0.918 0.918 0.918
La: 0.500 0.500 0.500
Ce: 0.354 0.354 0.354
Ce: 0.646 0.646 0.646
Pb: 0.237 0.237 0.237
Pb: 0.763 0.763 0.763


VASP calculation (PBE) on a geometry-optimized CsRbZrO3 structure.

space-group type = C2/c

a = 7.440 Å, b = 7.440 Å, c = 6.020 Å
α = 92.23°, β = 92.23°, γ = 125.82°
Positions (direct):
Cs: 0.247 0.753 0.750
Cs: 0.753 0.247 0.250
Rb: 0.414 0.586 0.250
Rb: 0.586 0.414 0.750
Zr: 0.050 0.950 0.250
Zr: 0.950 0.050 0.750
O: 0.179 0.211 0.497
O: 0.198 0.802 0.250
O: 0.211 0.179 0.997
O: 0.789 0.821 0.003
O: 0.802 0.198 0.750
O: 0.821 0.789 0.503


VASP calculation (PBE) on a geometry-optimized KRbN2O structure.

space-group type = P4/mmm

a = 5.444 Å, b = 5.444 Å, c = 5.043 Å
α = 90.00°, β = 90.00°, γ = 90.00°
Positions (direct):
K: 0.000 0.000 0.000
Rb: 0.500 0.500 0.500
N: 0.000 0.500 0.500
N: 0.500 0.000 0.500
O: 0.500 0.500 0.000


VASP calculation (PBE) on a geometry-optimized MnBe2Te structure.

space-group type = Cmmm

a = 3.972 Å, b = 3.972 Å, c = 3.511 Å
α = 90.00°, β = 90.00°, γ = 97.22°
Positions (direct):
Mn: 0.000 0.000 0.000
Be: 0.000 0.500 0.500
Be: 0.500 0.000 0.500
Te: 0.500 0.500 0.000


VASP calculation (PBE) on a geometry-optimized Hf2PN structure.

energy relative to the lowest polymorph listed for this composition = 0 meV/atom
space-group type = R-3m

a = 6.164 Å, b = 6.164 Å, c = 6.164 Å
α = 32.15°, β = 32.15°, γ = 32.15°
Positions (direct):
Hf: 0.234 0.234 0.234
Hf: 0.766 0.766 0.766
P: 0.000 0.000 0.000
N: 0.500 0.500 0.500


VASP calculation (PBE) on a geometry-optimized FeSeI2 structure.

energy relative to the lowest polymorph listed for this composition = 231 meV/atom
space-group type = Fm-3m

a = 5.198 Å, b = 5.198 Å, c = 5.198 Å
α = 60.00°, β = 60.00°, γ = 60.00°
Positions (direct):
Fe: 0.000 0.000 0.000
Se: 0.500 0.500 0.500
I: 0.250 0.250 0.250
I: 0.750 0.750 0.750


VASP calculation (PBE) on a geometry-optimized HfZrCdOs structure.

energy of formation = -0.19 eV/atom
space-group type = F-43m

a = 4.778 Å, b = 4.778 Å, c = 4.778 Å
α = 60.00°, β = 60.00°, γ = 60.00°
Positions (direct):
Hf: 0.000 0.000 0.000
Zr: 0.500 0.500 0.500
Cd: 0.750 0.750 0.750
Os: 0.250 0.250 0.250


VASP calculation (PBE) on a geometry-optimized Ag3B2F8 structure.

space-group type = Cmce

a = 7.417 Å, b = 7.417 Å, c = 9.122 Å
α = 90.00°, β = 90.00°, γ = 131.64°
Positions (direct):
Ag: 0.000 0.000 0.000
Ag: 0.143 0.357 0.250
Ag: 0.357 0.143 0.750
Ag: 0.500 0.500 0.500
Ag: 0.643 0.857 0.250
Ag: 0.857 0.643 0.750
B: 0.148 0.852 0.389
B: 0.352 0.648 0.889
B: 0.648 0.352 0.111
B: 0.852 0.148 0.611
F: 0.047 0.335 0.522
F: 0.064 0.936 0.294
F: 0.165 0.453 0.978
F: 0.235 0.765 0.305
F: 0.265 0.735 0.805
F: 0.335 0.047 0.478
F: 0.436 0.564 0.794
F: 0.453 0.165 0.022
F: 0.547 0.835 0.978
F: 0.564 0.436 0.206
F: 0.665 0.953 0.522
F: 0.735 0.265 0.195
F: 0.765 0.235 0.695
F: 0.835 0.547 0.022
F: 0.936 0.064 0.706
F: 0.953 0.665 0.478


VASP calculation (PBE) on a geometry-optimized CdInW3 structure.

energy of formation = 2.80 eV/atom
energy relative to the lowest polymorph listed for this composition = 0 meV/atom
space-group type = Pm-3m

a = 4.898 Å, b = 4.898 Å, c = 4.898 Å
α = 90.00°, β = 90.00°, γ = 90.00°
Positions (direct):
Cd: 0.000 0.000 0.000
In: 0.500 0.500 0.500
W: 0.000 0.500 0.500
W: 0.500 0.000 0.500
W: 0.500 0.500 0.000


Total DFT energy (no corrections) in eV per atom, matching the order above: -4.08 -4.44 -4.80 -5.67 -3.14 -3.11 -5.66 -1.74 -9.35 -3.39 -5.76 -5.82 -4.33 -6.61 -3.25 -4.47 -9.78 -2.93 -7.85 -4.82 -5.71